The following is a meta-GGA SCAN calculation of a PBEsol-optimized structure of Ca2Ge2Pd, from Alexandria.

```
Ca2Ge2Pd
1.0
6.708 0.000 0.000
0.000 6.708 0.000
0.000 0.000 4.590
Ca Ge Pd
4 4 2
direct
0.169 0.331 0.000 Ca
0.331 0.831 0.000 Ca
0.669 0.169 0.000 Ca
0.831 0.669 0.000 Ca
0.138 0.638 0.500 Ge
0.362 0.138 0.500 Ge
0.638 0.862 0.500 Ge
0.862 0.362 0.500 Ge
0.000 0.000 0.500 Pd
0.500 0.500 0.500 Pd
```

Values from the calculation:
Space-group type = P4/mbm (127)


The following is a meta-GGA SCAN calculation of a PBEsol-optimized structure of MgZr2Zn, from Alexandria.

```
MgZr2Zn
1.0
3.067 0.000 0.000
0.000 3.067 0.000
0.000 0.000 8.384
Mg Zr Zn
1 2 1
direct
0.000 0.000 0.000 Mg
0.500 0.500 0.276 Zr
0.500 0.500 0.724 Zr
0.000 0.000 0.500 Zn
```

Values from the calculation:
Excess energy over the best structure of this formula in the dataset = 0.015 eV per atom
Space-group type = P4/mmm (123)


| no. | theoretical density (kg/m3) | DFT formation energy (eV/atom) |
| --- | --- | --- |
| 1 | 5335 | -0.749 |
| 2 | 5732 | -0.130 |